No. 1
The following is a GGA-PBEsol calculation of a relaxed structure of K3TaRu, from Alexandria via LeMat-Bulk.

Values from the calculation:
ΔH_f (0 K) (eV per atom): 2.591
V (Å³ per cell): 258.6
Theoretical density (g/cm3): 2.564

Lattice parameters (Å, degrees): 6.371 6.371 6.371 90.00 90.00 90.00
Positions (direct):
K  0.000  0.000  0.500
K  0.000  0.500  0.000
K  0.500  0.000  0.000
Ta  0.000  0.000  0.000
Ru  0.500  0.500  0.500

***

No. 2
The following is a GGA-PBEsol calculation of a relaxed structure of K2TaRu, from Alexandria via LeMat-Bulk.

Values from the calculation:
ΔE to the lowest computed polymorph (eV per formula unit): 1.33
ΔH_f (0 K) (eV per atom): 0.971
V (Å³ per cell): 123.7
Theoretical density (g/cm3): 4.836

Lattice parameters (Å, degrees): 6.962 6.962 6.962 152.84 125.98 61.49
Positions (direct):
K  0.000  0.000  0.000
K  0.700  0.200  0.500
Ta  0.393  0.393  0.000
Ru  0.257  0.757  0.500

***

No. 3
The following is a GGA-PBEsol calculation of a relaxed structure of KTcRu, from Alexandria via LeMat-Bulk.

Values from the calculation:
ΔE to the lowest computed polymorph (eV per formula unit): 0.00
ΔH_f (0 K) (eV per atom): 0.871
V (Å³ per cell): 61.9
Theoretical density (g/cm3): 6.393

Lattice parameters (Å, degrees): 7.250 7.250 7.250 156.23 156.23 33.87
Positions (direct):
K  0.000  0.000  0.000
Tc  0.287  0.287  0.000
Ru  0.697  0.697  0.000

***

No. 4
The following is a GGA-PBEsol calculation of a relaxed structure of KTcRu, from Alexandria via LeMat-Bulk.

Values from the calculation:
ΔE to the lowest computed polymorph (eV per formula unit): 2.81
ΔH_f (0 K) (eV per atom): 1.807
V (Å³ per cell): 58.0
Theoretical density (g/cm3): 6.820

Lattice parameters (Å, degrees): 4.345 4.345 4.345 60.00 60.00 60.00
Positions (direct):
K  0.000  0.000  0.000
Tc  0.500  0.500  0.500
Ru  0.250  0.250  0.250

***

No. 5
The following is a GGA-PBEsol calculation of a relaxed structure of KTcRu, from Alexandria via LeMat-Bulk.

Values from the calculation:
ΔE to the lowest computed polymorph (eV per formula unit): 0.44
ΔH_f (0 K) (eV per atom): 1.019
V (Å³ per cell): 52.3
Theoretical density (g/cm3): 7.561

Lattice parameters (Å, degrees): 8.226 8.025 2.718 84.59 76.20 19.21
Positions (direct):
K  0.000  0.000  0.000
Tc  0.311  0.311  0.689
Ru  0.680  0.680  0.320

***

No. 6
The following is a GGA-PBEsol calculation of a relaxed structure of KTeRu2, from Alexandria via LeMat-Bulk.

Values from the calculation:
Formation energy from raw total energies (eV/atom): 0.96
V (Å³ per cell): 78.2
Theoretical density (g/cm3): 7.830

Lattice parameters (Å, degrees): 5.702 5.702 5.702 148.49 125.30 64.50
Positions (direct):
K  0.000  0.000  0.000
Te  0.500  0.500  0.000
Ru  0.287  0.787  0.500
Ru  0.713  0.213  0.500

***

No. 7
The following is a GGA-PBEsol calculation of a relaxed structure of KTeRu4, from Alexandria via LeMat-Bulk.

Values from the calculation:
Formation energy from raw total energies (eV/atom): 0.92
V (Å³ per cell): 102.7
Theoretical density (g/cm3): 9.232

Lattice parameters (Å, degrees): 5.256 5.256 5.256 60.00 60.00 60.00
Positions (direct):
K  0.000  0.000  0.000
Te  0.750  0.750  0.750
Ru  0.376  0.376  0.376
Ru  0.376  0.376  0.872
Ru  0.376  0.872  0.376
Ru  0.872  0.376  0.376

***

No. 8
The following is a GGA-PBEsol calculation of a relaxed structure of KTeRu2, from Alexandria via LeMat-Bulk.

Values from the calculation:
Formation energy from raw total energies (eV/atom): 0.49
V (Å³ per cell): 85.9
Theoretical density (g/cm3): 7.133

Lattice parameters (Å, degrees): 2.927 3.672 7.987 90.00 90.00 90.00
Positions (direct):
K  0.000  0.000  0.000
Te  0.500  0.500  0.652
Ru  0.000  0.000  0.452
Ru  0.500  0.500  0.315

***

No. 9
The following is a GGA-PBEsol calculation of a relaxed structure of KTeRu3, from Alexandria via LeMat-Bulk.

Values from the calculation:
Formation energy from raw total energies (eV/atom): 1.50
V (Å³ per cell): 115.5
Theoretical density (g/cm3): 6.754

Lattice parameters (Å, degrees): 4.870 4.870 4.870 90.00 90.00 90.00
Positions (direct):
K  0.000  0.000  0.000
Te  0.500  0.500  0.500
Ru  0.000  0.500  0.500
Ru  0.500  0.000  0.500
Ru  0.500  0.500  0.000

***

No. 10
The following is a GGA-PBEsol calculation of a relaxed structure of KTiRu3, from Alexandria via LeMat-Bulk.

Values from the calculation:
ΔH_f (0 K) (eV per atom): 2.632
V (Å³ per cell): 85.4
Theoretical density (g/cm3): 7.589

Lattice parameters (Å, degrees): 4.403 4.403 4.403 90.00 90.00 90.00
Positions (direct):
K  0.000  0.000  0.000
Ti  0.500  0.500  0.500
Ru  0.000  0.000  0.500
Ru  0.000  0.500  0.000
Ru  0.500  0.000  0.000

***

No. 11
The following is a GGA-PBEsol calculation of a relaxed structure of KTiRuW2, from Alexandria via LeMat-Bulk.

Values from the calculation:
ΔH_f (0 K) (eV per atom): 3.056
V (Å³ per cell): 82.3
Theoretical density (g/cm3): 11.216

Lattice parameters (Å, degrees): 4.438 4.438 4.177 90.00 90.00 90.00
Positions (direct):
K  0.000  0.000  0.000
Ti  0.000  0.000  0.500
Ru  0.500  0.500  0.500
W  0.000  0.500  0.000
W  0.500  0.000  0.000

***

No. 12
The following is a GGA-PBEsol calculation of a relaxed structure of KTlRu2, from Alexandria via LeMat-Bulk.

Values from the calculation:
ΔE to the lowest computed polymorph (eV per formula unit): 1.76
ΔH_f (0 K) (eV per atom): 1.055
V (Å³ per cell): 87.9
Theoretical density (g/cm3): 8.415

Lattice parameters (Å, degrees): 2.814 4.922 6.374 90.00 95.16 90.00
Positions (direct):
K  0.000  0.000  0.000
Tl  0.500  0.000  0.500
Ru  0.268  0.500  0.663
Ru  0.732  0.500  0.337

***

No. 13
The following is a GGA-PBEsol calculation of a relaxed structure of KTlRu2, from Alexandria via LeMat-Bulk.

Values from the calculation:
ΔE to the lowest computed polymorph (eV per formula unit): 1.95
ΔH_f (0 K) (eV per atom): 1.104
V (Å³ per cell): 74.9
Theoretical density (g/cm3): 9.875

Lattice parameters (Å, degrees): 10.118 10.118 10.118 16.74 16.74 16.74
Positions (direct):
K  0.000  0.000  0.000
Tl  0.500  0.500  0.500
Ru  0.240  0.240  0.240
Ru  0.760  0.760  0.760

***

No. 14
The following is a GGA-PBEsol calculation of a relaxed structure of KTlRu3, from Alexandria via LeMat-Bulk.

Values from the calculation:
ΔH_f (0 K) (eV per atom): 2.828
V (Å³ per cell): 99.6
Theoretical density (g/cm3): 9.110

Lattice parameters (Å, degrees): 4.636 4.636 4.636 90.00 90.00 90.00
Positions (direct):
K  0.000  0.000  0.000
Tl  0.500  0.500  0.500
Ru  0.000  0.000  0.500
Ru  0.000  0.500  0.000
Ru  0.500  0.000  0.000

***

No. 15
The following is a GGA-PBEsol calculation of a relaxed structure of KTlRu2, from Alexandria via LeMat-Bulk.

Values from the calculation:
ΔE to the lowest computed polymorph (eV per formula unit): 2.13
ΔH_f (0 K) (eV per atom): 1.148
V (Å³ per cell): 88.1
Theoretical density (g/cm3): 8.397

Lattice parameters (Å, degrees): 3.488 3.488 7.242 90.00 90.00 90.00
Positions (direct):
K  0.000  0.000  0.000
Tl  0.000  0.000  0.500
Ru  0.500  0.500  0.331
Ru  0.500  0.500  0.669

***

No. 16
The following is a GGA-PBEsol calculation of a relaxed structure of KTlRu2, from Alexandria via LeMat-Bulk.

Values from the calculation:
ΔE to the lowest computed polymorph (eV per formula unit): 0.00
ΔH_f (0 K) (eV per atom): 0.616
V (Å³ per cell): 90.4
Theoretical density (g/cm3): 8.188

Lattice parameters (Å, degrees): 4.257 4.257 7.902 94.77 94.77 39.32
Positions (direct):
K  0.000  0.000  0.000
Tl  0.237  0.237  0.653
Ru  0.502  0.502  0.417
Ru  0.762  0.762  0.312

***

No. 17
The following is a GGA-PBEsol calculation of a relaxed structure of KRuW2, from Alexandria via LeMat-Bulk.

Values from the calculation:
ΔE to the lowest computed polymorph (eV per formula unit): 0.00
ΔH_f (0 K) (eV per atom): 0.874
V (Å³ per cell): 75.3
Theoretical density (g/cm3): 11.194

Lattice parameters (Å, degrees): 2.812 2.812 9.530 90.00 90.00 90.00
Positions (direct):
K  0.000  0.000  0.000
Ru  0.500  0.500  0.286
W  0.000  0.000  0.457
W  0.500  0.500  0.673

***

No. 18
The following is a GGA-PBEsol calculation of a relaxed structure of KRuW2, from Alexandria via LeMat-Bulk.

Values from the calculation:
ΔE to the lowest computed polymorph (eV per formula unit): 2.99
ΔH_f (0 K) (eV per atom): 1.621
V (Å³ per cell): 66.9
Theoretical density (g/cm3): 12.605

Lattice parameters (Å, degrees): 2.945 4.658 4.877 90.00 90.00 90.00
Positions (direct):
K  0.000  0.000  0.000
Ru  0.500  0.500  0.000
W  0.000  0.500  0.500
W  0.500  0.000  0.500

***

No. 19
The following is a GGA-PBEsol calculation of a relaxed structure of KRuW2, from Alexandria via LeMat-Bulk.

Values from the calculation:
ΔE to the lowest computed polymorph (eV per formula unit): 0.26
ΔH_f (0 K) (eV per atom): 0.938
V (Å³ per cell): 75.7
Theoretical density (g/cm3): 11.145

Lattice parameters (Å, degrees): 2.762 2.762 9.920 90.00 90.00 90.00
Positions (direct):
K  0.000  0.000  0.000
Ru  0.000  0.000  0.500
W  0.500  0.500  0.315
W  0.500  0.500  0.685

***

No. 20
The following is a GGA-PBEsol calculation of a relaxed structure of KRuW2, from Alexandria via LeMat-Bulk.

Values from the calculation:
ΔE to the lowest computed polymorph (eV per formula unit): 0.38
ΔH_f (0 K) (eV per atom): 0.969
V (Å³ per cell): 85.9
Theoretical density (g/cm3): 9.816

Lattice parameters (Å, degrees): 2.737 3.853 8.246 90.00 98.97 90.00
Positions (direct):
K  0.000  0.000  0.000
Ru  0.500  0.000  0.500
W  0.065  0.500  0.651
W  0.935  0.500  0.349

***

| no. | total magnetization (μB per formula unit) |
| --- | --- |
| 1 | 7.41 |
| 2 | 0.00 |
| 3 | 0.00 |
| 4 | 0.00 |
| 5 | 0.00 |
| 6 | 0.00 |
| 7 | 2.25 |
| 8 | 0.00 |
| 9 | 2.84 |
| 10 | 0.00 |
| 11 | 0.00 |
| 12 | 1.61 |
| 13 | 0.56 |
| 14 | 5.55 |
| 15 | 1.80 |
| 16 | 0.00 |
| 17 | 0.00 |
| 18 | 0.16 |
| 19 | 0.00 |
| 20 | 0.00 |